Here is ZrBr2N after structural relaxation from the Alexandria database. Energies are from PBE.

Magnetic moment   1.0 μB per formula unit
Uncorrected formation energy   0.485 eV/atom
Energy   -18.28 eV per cell

a b c (Å): 4.720 4.720 4.720
angles (deg): 60.00 60.00 60.00
Site moments in Bohr magnetons follow the coordinates.
Sites, in units of the cell vectors:
Zr1 0.500 0.500 0.500  -0.67
Br1 0.750 0.750 0.750  0.09
Br2 0.250 0.250 0.250  0.09
N1 0.000 0.000 0.000  1.21